Arrangement 1

Compound: ZnTe3F
Source: Alexandria via LeMat-Bulk
Functional: GGA-PBE
Structure: optimized geometry

a b c (Å): 5.1876 5.1876 5.1876
angles (deg): 90.00 90.00 90.00
Last column: nearest neighbours and their distance in Å.
Element x y z (fractional)
Zn1 0.0000 0.0000 0.0000  6 Te 2.59
Te1 0.0000 0.5000 0.0000  2 Zn 2.59
Te2 0.0000 0.0000 0.5000  2 Zn 2.59
Te3 0.5000 0.0000 0.0000  2 Zn 2.59
F1 0.5000 0.5000 0.5000  12 Te 3.67

- N(E_F) (states/eV/cell) = 3.6
- density (g/cm³) = 5.557
- space group = Pm-3m
- total magnetization (μB per formula unit) = 0.0

Arrangement 2

Compound: ZnTe3F
Source: Alexandria via LeMat-Bulk
Functional: GGA-PBE
Structure: optimized geometry

a b c (Å): 4.9687 4.9687 4.9687
angles (deg): 90.00 90.00 90.00
Last column: nearest neighbours and their distance in Å.
Element x y z (fractional)
Zn1 0.5000 0.5000 0.5000  12 Te 3.51
Te1 0.0000 0.5000 0.0000  2 F 2.48
Te2 0.0000 0.0000 0.5000  2 F 2.48
Te3 0.5000 0.0000 0.0000  2 F 2.48
F1 0.0000 0.0000 0.0000  6 Te 2.48

- N(E_F) (states/eV/cell) = 3.2
- density (g/cm³) = 6.324
- space group = Pm-3m
- total magnetization (μB per formula unit) = 0.0

Pick arrangement 2: it beats the second-best structure by 102 meV/atom.

Arrangement 1

Compound: Zn3TeF
Source: Alexandria via LeMat-Bulk
Functional: GGA-PBE
Structure: optimized geometry

a b c (Å): 5.4716 5.4716 5.4716
angles (deg): 90.00 90.00 90.00
Last column: nearest neighbours and their distance in Å.
Element x y z (fractional)
Zn1 0.0000 0.5000 0.0000  2 Te 2.74
Zn2 0.0000 0.0000 0.5000  2 Te 2.74
Zn3 0.5000 0.0000 0.0000  2 Te 2.74
Te1 0.0000 0.0000 0.0000  6 Zn 2.74
F1 0.5000 0.5000 0.5000  12 Zn 3.87

- N(E_F) (states/eV/cell) = 1.0
- density (g/cm³) = 3.475
- space group = Pm-3m
- total magnetization (μB per formula unit) = 0.0

Arrangement 2

Compound: Zn3TeF
Source: Alexandria via LeMat-Bulk
Functional: GGA-PBE
Structure: optimized geometry

a b c (Å): 4.5994 4.5994 4.5994
angles (deg): 90.00 90.00 90.00
Last column: nearest neighbours and their distance in Å.
Element x y z (fractional)
Zn1 0.0000 0.5000 0.0000  2 F 2.30
Zn2 0.0000 0.0000 0.5000  2 F 2.30
Zn3 0.5000 0.0000 0.0000  2 F 2.30
Te1 0.5000 0.5000 0.5000  12 Zn 3.25
F1 0.0000 0.0000 0.0000  6 Zn 2.30

- N(E_F) (states/eV/cell) = 3.4
- density (g/cm³) = 5.851
- space group = Pm-3m
- total magnetization (μB per formula unit) = 0.0

Pick arrangement 2: it beats the second-best structure by 296 meV/atom.

Arrangement 1

Compound: ZnTeF2
Source: Alexandria via LeMat-Bulk
Functional: GGA-PBE
Structure: optimized geometry

a b c (Å): 8.5054 8.5054 8.5054
angles (deg): 21.08 21.08 21.08
Last column: nearest neighbours and their distance in Å.
Element x y z (fractional)
Zn1 0.5000 0.5000 0.5000  6 F 2.05
Te1 0.0000 0.0000 0.0000  6 Te 3.11, 2 F 3.16
F1 0.8731 0.8731 0.8731  3 Zn 2.05
F2 0.1269 0.1269 0.1269  3 Zn 2.05

- N(E_F) (states/eV/cell) = 1.1
- density (g/cm³) = 5.505
- space group = R-3m
- total magnetization (μB per formula unit) = 0.0

Arrangement 2

Compound: ZnTeF2
Source: Alexandria via LeMat-Bulk
Functional: GGA-PBE
Structure: optimized geometry

a b c (Å): 5.8506 5.8506 5.9477
angles (deg): 60.54 60.54 90.00
Last column: nearest neighbours and their distance in Å.
Element x y z (fractional)
Zn1 0.5000 0.5000 0.0000  4 F 1.89
Zn2 0.2500 0.7500 0.5000  4 F 1.89
Te1 0.0000 0.0000 0.0000  4 F 3.00
Te2 0.7500 0.2500 0.5000  4 F 3.00
F1 0.4673 0.1250 0.2500  2 Zn 1.89
F2 0.2827 0.6250 0.2500  2 Zn 1.89
F3 0.3750 0.5327 0.7500  2 Zn 1.89
F4 0.8750 0.7173 0.7500  2 Zn 1.89

- N(E_F) (states/eV/cell) = 1.4
- density (g/cm³) = 5.245
- space group = I-42d
- total magnetization (μB per formula unit) = 0.0

Pick arrangement 1: it beats the second-best structure by 243 meV/atom.

Arrangement 1

Compound: ZrTeF3
Source: Alexandria via LeMat-Bulk
Functional: GGA-PBE
Structure: optimized geometry

a b c (Å): 4.6425 4.6425 4.6425
angles (deg): 90.00 90.00 90.00
Last column: nearest neighbours and their distance in Å.
Element x y z (fractional)
Te1 0.0000 0.0000 0.0000  6 F 2.32
Zr1 0.5000 0.5000 0.5000  12 F 3.28
F1 0.0000 0.5000 0.0000  2 Te 2.32
F2 0.0000 0.0000 0.5000  2 Te 2.32
F3 0.5000 0.0000 0.0000  2 Te 2.32

- N(E_F) (states/eV/cell) = 5.9
- density (g/cm³) = 4.577
- space group = Pm-3m
- total magnetization (μB per formula unit) = 0.0

Arrangement 2

Compound: ZrTeF3
Source: Alexandria via LeMat-Bulk
Functional: GGA-PBE
Structure: optimized geometry

a b c (Å): 5.5925 6.3884 5.5373
angles (deg): 98.44 93.10 81.25
Last column: nearest neighbours and their distance in Å.
Element x y z (fractional)
Zr1 0.1122 0.7658 0.7231  5 F 1.95-2.16
Zr2 0.6392 0.5342 0.1726  3 F 1.95-2.17
Te1 0.3581 0.2900 0.7701  1 Te 2.74, 1 F 2.78, 1 Zr 3.04
Te2 0.0542 0.1795 0.0866  1 Te 2.74, 2 Zr 2.99-3.06, 2 F 3.00-3.05
F1 0.5784 0.2956 0.3333  1 Zr 1.95
F2 0.4233 0.7628 0.9733  2 Zr 2.15-2.16
F3 0.8765 0.5867 0.4908  2 Zr 2.13-2.17
F4 0.9400 0.9669 0.5175  1 Zr 1.95
F5 0.8944 0.6802 0.9884  2 Zr 2.14-2.19
F6 0.3800 0.7022 0.4520  2 Zr 2.13-2.22

- density (g/cm³) = 4.739
- space group = P1
- total magnetization (μB per formula unit) = 0.0

Pick arrangement 2: it beats the second-best structure by 2212 meV/atom.